Record 1
Below is an optimized crystal structure of AgMoN3, with properties calculated at the GGA-PBE level.

Calculated values
Formation energy (no corrections)   20.47 kcal/mol of atoms

a = 3.972 Å, b = 3.972 Å, c = 3.972 Å
α = 90.00°, β = 90.00°, γ = 90.00°
Positions (direct):
N 0.500 0.000 0.000
N 0.000 0.000 0.500
Ag 0.500 0.500 0.500
N 0.000 0.500 0.000
Mo 0.000 0.000 0.000

---

Record 2
Below is an optimized crystal structure of CsSi3HO7, with properties calculated at the GGA-PBE level.

Calculated values
VASP energy   -7.1049 eV/atom

a = 5.002 Å, b = 10.580 Å, c = 14.370 Å
α = 90.00°, β = 90.00°, γ = 90.00°
Positions (direct):
Si 0.394 0.798 0.556
O 0.975 0.756 0.343
O 0.383 0.381 0.713
O 0.265 0.421 0.530
Si 0.454 0.348 0.608
O 0.596 0.756 0.471
Si 0.954 0.152 0.392
H 0.465 0.307 0.787
O 0.120 0.047 0.059
H 0.035 0.693 0.287
O 0.235 0.579 0.030
O 0.117 0.619 0.213
Si 0.458 0.085 0.508
O 0.883 0.119 0.287
Si 0.542 0.585 0.992
H 0.535 0.807 0.713
O 0.765 0.387 0.581
O 0.620 0.453 0.941
Si 0.894 0.702 0.444
O 0.404 0.256 0.029
O 0.576 0.693 0.912
Si 0.042 0.915 0.008
Cs 0.535 0.414 0.245
O 0.525 0.244 0.843
O 0.235 0.887 0.919
Si 0.606 0.298 0.944
O 0.076 0.807 0.088
O 0.096 0.744 0.529
Cs 0.965 0.586 0.745
O 0.475 0.744 0.657
O 0.380 0.953 0.559
O 0.904 0.244 0.971
O 0.924 0.307 0.412
O 0.617 0.881 0.787
O 0.265 0.113 0.419
Si 0.106 0.202 0.056
O 0.735 0.921 0.970
Si 0.546 0.848 0.892
Cs 0.465 0.914 0.255
O 0.735 0.613 0.081
Si 0.958 0.415 0.492
O 0.765 0.079 0.470
O 0.424 0.193 0.588
Cs 0.035 0.086 0.755
O 0.025 0.256 0.157
O 0.880 0.547 0.441
H 0.965 0.193 0.213
Si 0.046 0.652 0.108

---

Record 3
Below is an optimized crystal structure of Ce6HoN8, with properties calculated at the GGA-PBE level.

Calculated values
Formation energy (no corrections)   -29.99 kcal/mol of atoms

a = 7.064 Å, b = 7.064 Å, c = 7.064 Å
α = 60.00°, β = 60.00°, γ = 60.00°
Each line ends with the local moment (μB).
Positions (direct):
Ce 0.000 0.000 0.500  0.31
Ce 0.500 0.000 0.500  0.31
N 0.234 0.766 0.766  -0.03
Ce 0.500 0.000 0.000  0.31
Ce 0.500 0.500 0.000  0.31
N 0.766 0.766 0.234  -0.03
N 0.750 0.750 0.750  -0.03
N 0.234 0.766 0.234  -0.03
N 0.234 0.234 0.766  -0.03
N 0.766 0.234 0.234  -0.03
Ho 0.000 0.000 0.000  0.01
Ce 0.000 0.500 0.000  0.31
Ce 0.000 0.500 0.500  0.31
N 0.766 0.234 0.766  -0.03
N 0.250 0.250 0.250  -0.03

---

What is the formula in the third record? Ce6HoN8

---

What is the formula in the third record? Ce6HoN8